A plane-wave DFT calculation with PBE was carried out for a geometry-optimized K3NaSc structure.

Unit cell a=6.6885 b=6.6885 c=6.6885 alpha=90.00 beta=90.00 gamma=90.00
Last column: magnetic moment on the atom in μB.
Fractional coordinates of all 5 atoms:
1 Sc 0.5000 0.5000 0.5000  0.90
2 Na 0.0000 0.0000 0.0000  0.00
3 K 0.0000 0.5000 0.0000  0.01
4 K 0.0000 0.0000 0.5000  0.01
5 K 0.5000 0.0000 0.0000  0.00

ΔE to the lowest computed polymorph ... 0 meV/atom
Total energy ... -1.467 eV per atom
Formation energy from the elements ... 0.7216 eV/atom
Symmetry ... No. 221